A plane-wave DFT calculation with PBE was carried out for a relaxed ZrTl2Ni crystal.

Calculated values
**E**: -4.4354 eV per atom
**V**: 20.6 A^3/atom
**M_tot**: 0.003 μB per atom

Lattice parameters (Å, degrees): 6.9058 6.9058 6.9058 90.00 90.00 90.00
Space group F-43m (No. 216)
Inequivalent atoms, fractional coordinates:
Zr1 0.0000 0.0000 0.0000 x4
Tl1 0.0000 0.0000 0.5000 x4
Tl2 0.2500 0.2500 0.2500 x4
Ni1 0.2500 0.2500 0.7500 x4

A plane-wave DFT calculation with PBE was carried out for a relaxed NdHoC2 crystal.

Calculated values
**E**: -6.9620 eV per atom
**V**: 19.2 A^3/atom
**M_tot**: 0.001 μB per atom

Lattice parameters (Å, degrees): 4.0311 5.5741 6.8191 90.00 90.00 90.00
Space group Amm2 (No. 38)
Inequivalent atoms, fractional coordinates:
Nd1 0.0000 0.0000 0.0000 x2
Ho1 0.5000 0.0000 0.4309 x2
C1 0.5000 0.1239 0.7757 x4

A plane-wave DFT calculation with PBE was carried out for a relaxed YAlZnCu crystal.

Calculated values
**E**: -4.1499 eV per atom
**V**: 17.5 A^3/atom
**Polymorph energy (0 for the lowest one)**: 0 meV per atom
**M_tot**: 0.000 μB per atom

Lattice parameters (Å, degrees): 6.5414 6.5414 6.5414 90.00 90.00 90.00
Space group F-43m (No. 216)
Inequivalent atoms, fractional coordinates:
Y1 0.0000 0.0000 0.0000 x4
Al1 0.0000 0.0000 0.5000 x4
Zn1 0.2500 0.2500 0.2500 x4
Cu1 0.2500 0.2500 0.7500 x4

A plane-wave DFT calculation with PBE was carried out for a relaxed Gd3Sn5Pb2 crystal.

Calculated values
**E**: -4.6366 eV per atom
**V**: 27.4 A^3/atom
**Polymorph energy (0 for the lowest one)**: 1 meV per atom
**M_tot**: 0.000 μB per atom

Lattice parameters (Å, degrees): 4.6158 25.7117 4.6115 90.00 90.00 90.00
Space group Cmmm (No. 65)
Inequivalent atoms, fractional coordinates:
Gd1 0.0000 0.0000 0.0000 x2
Gd2 0.0000 0.1888 0.0000 x4
Sn1 0.0000 0.0976 0.5000 x4
Sn2 0.0000 0.2909 0.5000 x4
Sn3 0.0000 0.5000 0.5000 x2
Pb1 0.0000 0.4031 0.0000 x4

A plane-wave DFT calculation with PBE was carried out for a relaxed BaTbPdSe3 crystal.

Calculated values
**E**: -5.2328 eV per atom
**V**: 27.4 A^3/atom
**M_tot**: 0.000 μB per atom

Lattice parameters (Å, degrees): 14.2980 4.2353 10.8785 90.00 90.00 90.00
Space group Pnma (No. 62)
Inequivalent atoms, fractional coordinates:
Ba1 0.2295 0.2500 0.0429 x4
Tb1 0.0246 0.2500 0.3315 x4
Pd1 0.0014 0.2500 0.9121 x4
Se1 0.0932 0.7500 0.8835 x4
Se2 0.0990 0.2500 0.5762 x4
Se3 0.1491 0.7500 0.2578 x4

A plane-wave DFT calculation with PBE was carried out for a relaxed Pr2Ho2SiI5 crystal.

Calculated values
**E**: -4.3777 eV per atom
**V**: 35.4 A^3/atom
**Polymorph energy (0 for the lowest one)**: 10 meV per atom
**M_tot**: 0.002 μB per atom

Lattice parameters (Å, degrees): 19.3502 4.2357 8.8674 90.00 102.78 90.00
Space group C2/m (No. 12)
Inequivalent atoms, fractional coordinates:
Pr1 0.1497 0.0000 0.0754 x4
Ho1 0.0000 0.5000 0.2080 x4
Si1 0.0000 0.0000 0.0000 x2
I1 0.0000 0.0000 0.5000 x2
I2 0.1617 0.5000 0.3490 x4
I3 0.1663 0.5000 0.8109 x4

A plane-wave DFT calculation with PBE was carried out for a relaxed TbPmMgAl crystal.

Calculated values
**E**: -3.9352 eV per atom
**V**: 26.0 A^3/atom
**M_tot**: 0.000 μB per atom

Lattice parameters (Å, degrees): 7.4611 7.4611 7.4611 90.00 90.00 90.00
Space group F-43m (No. 216)
Inequivalent atoms, fractional coordinates:
Tb1 0.0000 0.0000 0.0000 x4
Pm1 0.0000 0.0000 0.5000 x4
Mg1 0.2500 0.2500 0.7500 x4
Al1 0.2500 0.2500 0.2500 x4

A plane-wave DFT calculation with PBE was carried out for a relaxed H18PdC24S2N2O2 crystal.

Calculated values
**E**: -6.6409 eV per atom
**V**: 10.4 A^3/atom

Lattice parameters (Å, degrees): 23.8993 9.4419 9.8268 90.00 112.66 90.00
Space group C2/c (No. 15)
Inequivalent atoms, fractional coordinates:
H1 0.0301 0.0491 0.1988 x8
H2 0.0965 0.4233 0.6125 x8
H3 0.1073 0.0310 0.0888 x8
H4 0.1194 0.3365 0.9985 x8
H5 0.1427 0.2118 0.5480 x8
H6 0.1836 0.1830 0.9117 x8
H7 0.2114 0.1772 0.4396 x8
H8 0.2246 0.4762 0.6465 x8
H9 0.2380 0.4734 0.9105 x8
Pd1 0.0000 0.4785 0.7500 x4
C1 0.0230 0.1784 0.7177 x8
C2 0.0459 0.0548 0.6806 x8
C3 0.0840 0.3170 0.6335 x8
C4 0.0893 0.0646 0.6188 x8
C5 0.1088 0.1977 0.5956 x8
C6 0.1230 0.3553 0.2804 x8
C7 0.1529 0.2657 0.0753 x8
C8 0.1608 0.2649 0.2244 x8
C9 0.1891 0.1800 0.0270 x8
C10 0.2053 0.1776 0.3238 x8
C11 0.2329 0.0921 0.1263 x8
C12 0.2409 0.0908 0.2748 x8
S1 0.0458 0.3460 0.1693 x8
N1 0.0424 0.3081 0.6939 x8
O1 0.1458 0.4241 0.3964 x8

A plane-wave DFT calculation with PBE was carried out for a relaxed KNdO3 crystal.

Calculated values
**E**: -5.8775 eV per atom
**V**: 18.3 A^3/atom
**M_tot**: 0.400 μB per atom

Lattice parameters (Å, degrees): 6.3850 8.9868 6.3733 90.00 90.00 90.00
Space group Pnma (No. 62)
Inequivalent atoms, fractional coordinates:
K1 0.0221 0.2500 0.0036 x4
Nd1 0.0000 0.0000 0.5000 x4
O1 0.0296 0.7500 0.4273 x4
O2 0.2153 0.5375 0.7864 x8

A plane-wave DFT calculation with PBE was carried out for a relaxed Y2ScGa3Ge2Pd crystal.

Calculated values
**E**: -5.5174 eV per atom
**V**: 19.5 A^3/atom
**M_tot**: 0.001 μB per atom

Lattice parameters (Å, degrees): 4.1961 11.8719 7.0318 90.00 90.00 90.00
Space group Amm2 (No. 38)
Inequivalent atoms, fractional coordinates:
Y1 0.0000 0.2069 0.0000 x4
Sc1 0.0000 0.0000 0.6200 x2
Ga1 0.5000 0.0000 0.9725 x2
Ga2 0.5000 0.1184 0.3316 x4
Ge1 0.5000 0.1600 0.7071 x4
Pd1 0.0000 0.0000 0.2233 x2

A plane-wave DFT calculation with PBE was carried out for a relaxed RbLa2CuSe3S crystal.

Calculated values
**E**: -5.2596 eV per atom
**V**: 28.9 A^3/atom
**Polymorph energy (0 for the lowest one)**: 0 meV per atom
**M_tot**: 0.000 μB per atom

Lattice parameters (Å, degrees): 4.2720 14.7841 14.6255 90.00 90.00 90.00
Space group Cmcm (No. 63)
Inequivalent atoms, fractional coordinates:
Rb1 0.0000 0.0983 0.2500 x4
La1 0.0000 0.3649 0.0654 x8
Cu1 0.0000 0.1602 0.7500 x4
Se1 0.0000 0.0000 0.0000 x4
Se2 0.0000 0.2651 0.6163 x8
S1 0.0000 0.4208 0.2500 x4

A plane-wave DFT calculation with PBE was carried out for a relaxed YCuTcSb crystal.

Calculated values
**E**: -6.1817 eV per atom
**V**: 18.5 A^3/atom
**Polymorph energy (0 for the lowest one)**: 0 meV per atom
**M_tot**: 0.001 μB per atom

Lattice parameters (Å, degrees): 6.6701 6.6701 6.6701 90.00 90.00 90.00
Space group F-43m (No. 216)
Inequivalent atoms, fractional coordinates:
Y1 0.0000 0.0000 0.0000 x4
Cu1 0.2500 0.2500 0.7500 x4
Tc1 0.2500 0.2500 0.2500 x4
Sb1 0.0000 0.0000 0.5000 x4